Record 1
Entry from Alexandria: a geometry-optimized Co2NiCl structure (PBEsol).

Calculated values
* crystal system: orthorhombic
* calculated volume: 92.4 Å³ per cell
* raw total energy: -5.375 eV per atom

Cell and atoms, written as CIF:
```
data_Co2NiCl
_cell_length_a 2.716
_cell_length_b 4.127
_cell_length_c 8.242
_cell_angle_alpha 90.00
_cell_angle_beta 90.00
_cell_angle_gamma 90.00
_symmetry_space_group_name_H-M 'I m m 2'
_symmetry_Int_Tables_number 44
_symmetry_space_group_name_Hall 'I 2 -2'
loop_
_atom_site_label
_atom_site_type_symbol
_atom_site_fract_x
_atom_site_fract_y
_atom_site_fract_z
Co1 Co 0.000 0.000 0.000
Co2 Co 0.000 0.500 0.243
Ni1 Ni 0.000 0.500 0.775
Cl1 Cl 0.000 0.000 0.517
```

Record 2
Entry from Alexandria: a geometry-optimized CoNiCl structure (PBEsol).

Calculated values
* crystal system: cubic
* calculated volume: 164.8 Å³ per cell
* raw total energy: -4.702 eV per atom

Cell and atoms, written as CIF:
```
data_CoNiCl
_cell_length_a 5.482
_cell_length_b 5.482
_cell_length_c 5.482
_cell_angle_alpha 90.00
_cell_angle_beta 90.00
_cell_angle_gamma 90.00
_symmetry_space_group_name_H-M 'F -4 3 m'
_symmetry_Int_Tables_number 216
_symmetry_space_group_name_Hall 'F -4 2 3'
loop_
_atom_site_label
_atom_site_type_symbol
_atom_site_fract_x
_atom_site_fract_y
_atom_site_fract_z
Co1 Co 0.000 0.000 0.000
Ni1 Ni 0.250 0.250 0.750
Cl1 Cl 0.250 0.250 0.250
```

Record 3
Entry from Alexandria: a geometry-optimized CoNiSeCl2 structure (PBEsol).

Calculated values
* crystal system: tetragonal
* calculated volume: 92.6 Å³ per cell
* raw total energy: -3.947 eV per atom

Cell and atoms, written as CIF:
```
data_CoNiSeCl2
_cell_length_a 4.276
_cell_length_b 4.276
_cell_length_c 5.067
_cell_angle_alpha 90.00
_cell_angle_beta 90.00
_cell_angle_gamma 90.00
_symmetry_space_group_name_H-M 'P 4/m m m'
_symmetry_Int_Tables_number 123
_symmetry_space_group_name_Hall '-P 4 2'
loop_
_atom_site_label
_atom_site_type_symbol
_atom_site_fract_x
_atom_site_fract_y
_atom_site_fract_z
Co1 Co 0.000 0.000 0.000
Ni1 Ni 0.500 0.500 0.500
Se1 Se 0.000 0.000 0.500
Cl1 Cl 0.000 0.500 0.000
```

Record 4
Entry from Alexandria: a geometry-optimized Zr2CoNiCl structure (PBEsol).

Calculated values
* crystal system: tetragonal
* calculated volume: 97.1 Å³ per cell
* raw total energy: -6.442 eV per atom

Cell and atoms, written as CIF:
```
data_Zr2CoNiCl
_cell_length_a 4.791
_cell_length_b 4.791
_cell_length_c 4.229
_cell_angle_alpha 90.00
_cell_angle_beta 90.00
_cell_angle_gamma 90.00
_symmetry_space_group_name_H-M 'P 4/m m m'
_symmetry_Int_Tables_number 123
_symmetry_space_group_name_Hall '-P 4 2'
loop_
_atom_site_label
_atom_site_type_symbol
_atom_site_fract_x
_atom_site_fract_y
_atom_site_fract_z
Zr1 Zr 0.000 0.500 0.000
Co1 Co 0.000 0.000 0.500
Ni1 Ni 0.000 0.000 0.000
Cl1 Cl 0.500 0.500 0.500
```

Record 5
Entry from Alexandria: a geometry-optimized CoCl3O structure (PBEsol).

Calculated values
* crystal system: cubic
* calculated volume: 90.5 Å³ per cell
* raw total energy: -3.404 eV per atom

Cell and atoms, written as CIF:
```
data_CoCl3O
_cell_length_a 4.489
_cell_length_b 4.489
_cell_length_c 4.489
_cell_angle_alpha 90.00
_cell_angle_beta 90.00
_cell_angle_gamma 90.00
_symmetry_space_group_name_H-M 'P m -3 m'
_symmetry_Int_Tables_number 221
_symmetry_space_group_name_Hall '-P 4 2 3'
loop_
_atom_site_label
_atom_site_type_symbol
_atom_site_fract_x
_atom_site_fract_y
_atom_site_fract_z
Co1 Co 0.000 0.000 0.000
Cl1 Cl 0.000 0.000 0.500
O1 O 0.500 0.500 0.500
```

Record 6
Entry from Alexandria: a geometry-optimized CoRuCl2O structure (PBEsol).

Calculated values
* crystal system: tetragonal
* calculated volume: 96.1 Å³ per cell
* raw total energy: -4.416 eV per atom

Cell and atoms, written as CIF:
```
data_CoRuCl2O
_cell_length_a 4.486
_cell_length_b 4.486
_cell_length_c 4.777
_cell_angle_alpha 90.00
_cell_angle_beta 90.00
_cell_angle_gamma 90.00
_symmetry_space_group_name_H-M 'P 4/m m m'
_symmetry_Int_Tables_number 123
_symmetry_space_group_name_Hall '-P 4 2'
loop_
_atom_site_label
_atom_site_type_symbol
_atom_site_fract_x
_atom_site_fract_y
_atom_site_fract_z
Co1 Co 0.000 0.000 0.000
Ru1 Ru 0.000 0.000 0.500
Cl1 Cl 0.000 0.500 0.500
O1 O 0.500 0.500 0.000
```

Record 7
Entry from Alexandria: a geometry-optimized CoS2ClO structure (PBEsol).

Calculated values
* crystal system: tetragonal
* calculated volume: 79.6 Å³ per cell
* raw total energy: -4.043 eV per atom

Cell and atoms, written as CIF:
```
data_CoS2ClO
_cell_length_a 3.762
_cell_length_b 3.762
_cell_length_c 5.627
_cell_angle_alpha 90.00
_cell_angle_beta 90.00
_cell_angle_gamma 90.00
_symmetry_space_group_name_H-M 'P 4/m m m'
_symmetry_Int_Tables_number 123
_symmetry_space_group_name_Hall '-P 4 2'
loop_
_atom_site_label
_atom_site_type_symbol
_atom_site_fract_x
_atom_site_fract_y
_atom_site_fract_z
Co1 Co 0.000 0.000 0.000
S1 S 0.000 0.500 0.500
Cl1 Cl 0.500 0.500 0.000
O1 O 0.500 0.500 0.500
```

Record 8
Entry from Alexandria: a geometry-optimized Sr2CoClO3 structure (PBEsol).

Calculated values
* crystal system: tetragonal
* calculated volume: 209.0 Å³ per cell
* raw total energy: -6.299 eV per atom

Cell and atoms, written as CIF:
```
data_Sr2CoClO3
_cell_length_a 3.785
_cell_length_b 3.785
_cell_length_c 14.585
_cell_angle_alpha 90.00
_cell_angle_beta 90.00
_cell_angle_gamma 90.00
_symmetry_space_group_name_H-M 'P 4/n m m'
_symmetry_Int_Tables_number 129
loop_
_symmetry_equiv_pos_as_xyz
'x,y,z'
'-x,-y,-z'
'-y+1/2,x,z'
'y+1/2,-x,-z'
'-x+1/2,-y+1/2,z'
'x+1/2,y+1/2,-z'
'y,-x+1/2,z'
'-y,x+1/2,-z'
'x+1/2,-y,-z'
'-x+1/2,y,z'
'-y,-x,-z'
'y,x,z'
'-x,y+1/2,-z'
'x,-y+1/2,z'
'y+1/2,x+1/2,-z'
'-y+1/2,-x+1/2,z'
loop_
_atom_site_label
_atom_site_type_symbol
_atom_site_fract_x
_atom_site_fract_y
_atom_site_fract_z
Sr1 Sr 0.250 0.250 0.092
Sr2 Sr 0.250 0.250 0.339
Co1 Co 0.250 0.250 0.790
Cl1 Cl 0.250 0.250 0.577
O1 O 0.250 0.250 0.925
O2 O 0.250 0.750 0.226
```

Record 9
Entry from Alexandria: a geometry-optimized Co6Te3Cl2O12 structure (PBEsol).

Calculated values
* crystal system: tetragonal
* calculated volume: 1256.3 Å³ per cell
* raw total energy: -6.174 eV per atom

Cell and atoms, written as CIF:
```
data_Co6Te3Cl2O12
_cell_length_a 8.322
_cell_length_b 8.322
_cell_length_c 18.142
_cell_angle_alpha 90.00
_cell_angle_beta 90.00
_cell_angle_gamma 90.00
_symmetry_space_group_name_H-M 'P 42/m b c'
_symmetry_Int_Tables_number 135
_symmetry_space_group_name_Hall '-P 4c 2ab'
loop_
_atom_site_label
_atom_site_type_symbol
_atom_site_fract_x
_atom_site_fract_y
_atom_site_fract_z
Co1 Co 0.000 0.500 0.081
Co2 Co 0.181 0.194 0.168
Te1 Te 0.000 0.500 0.250
Te2 Te 0.177 0.187 0.500
Cl1 Cl 0.000 0.000 0.141
O1 O 0.092 0.651 0.500
O2 O 0.106 0.615 0.168
O3 O 0.155 0.312 0.076
O4 O 0.169 0.331 0.250
```

Record 10
Entry from Alexandria: a geometry-optimized CoOsCl structure (PBEsol).

Calculated values
* crystal system: cubic
* calculated volume: 158.8 Å³ per cell
* raw total energy: -5.856 eV per atom

Cell and atoms, written as CIF:
```
data_CoOsCl
_cell_length_a 5.415
_cell_length_b 5.415
_cell_length_c 5.415
_cell_angle_alpha 90.00
_cell_angle_beta 90.00
_cell_angle_gamma 90.00
_symmetry_space_group_name_H-M 'F -4 3 m'
_symmetry_Int_Tables_number 216
_symmetry_space_group_name_Hall 'F -4 2 3'
loop_
_atom_site_label
_atom_site_type_symbol
_atom_site_fract_x
_atom_site_fract_y
_atom_site_fract_z
Co1 Co 0.000 0.000 0.000
Os1 Os 0.000 0.000 0.500
Cl1 Cl 0.250 0.250 0.750
```

> Look up the calculated volume of the second one.

164.8 Å³ per cell

> Which formula does entry 7 have?

CoS2ClO

> Among the records above, which one has the highest calculated volume?

Co6Te3Cl2O12

What did the fourth record say?
Entry from Alexandria: a geometry-optimized Zr2CoNiCl structure (PBEsol).

Calculated values
* crystal system: tetragonal
* calculated volume: 97.1 Å³ per cell
* raw total energy: -6.442 eV per atom

Cell and atoms, written as CIF:
```
data_Zr2CoNiCl
_cell_length_a 4.791
_cell_length_b 4.791
_cell_length_c 4.229
_cell_angle_alpha 90.00
_cell_angle_beta 90.00
_cell_angle_gamma 90.00
_symmetry_space_group_name_H-M 'P 4/m m m'
_symmetry_Int_Tables_number 123
_symmetry_space_group_name_Hall '-P 4 2'
loop_
_atom_site_label
_atom_site_type_symbol
_atom_site_fract_x
_atom_site_fract_y
_atom_site_fract_z
Zr1 Zr 0.000 0.500 0.000
Co1 Co 0.000 0.000 0.500
Ni1 Ni 0.000 0.000 0.000
Cl1 Cl 0.500 0.500 0.500
```